# 1
! Re2AuBr PBE relaxed; values from VASP
! formation energy without anion corrections: 1.39 eV/atom
&SYSTEM
  ibrav = 0, nat = 4, ntyp = 3
/
ATOMIC_SPECIES
Au 196.97 Au.upf
Re 186.21 Re.upf
Br 79.90 Br.upf
CELL_PARAMETERS angstrom
4.611 0.000 0.000
0.000 4.611 0.000
0.000 0.000 3.074
ATOMIC_POSITIONS crystal
Au 0.500 0.000 0.500
Re 0.000 0.000 0.000
Re 0.500 0.500 0.000
Br 0.000 0.500 0.500

---

# 2
! RbSb2H2Se6 PBE relaxed; values from VASP
! raw total energy: -3.573 eV per atom
&SYSTEM
  ibrav = 0, nat = 11, ntyp = 4
/
ATOMIC_SPECIES
H 1.01 H.upf
Sb 121.76 Sb.upf
Se 78.96 Se.upf
Rb 85.47 Rb.upf
CELL_PARAMETERS angstrom
-5.466 4.302 -2.057
-2.683 1.741 -7.713
-4.214 -5.333 5.113
ATOMIC_POSITIONS crystal
H 0.778 0.415 0.275
H 0.222 0.585 0.725
Sb 0.178 0.615 0.078
Sb 0.822 0.385 0.922
Se 0.902 0.600 0.830
Se 0.340 0.698 0.815
Se 0.116 0.927 0.624
Se 0.884 0.073 0.376
Se 0.660 0.302 0.185
Se 0.098 0.400 0.170
Rb 0.500 0.000 0.500

---

# 3
! SrEuGaPt PBE relaxed; values from VASP
! raw total energy: -5.806 eV per atom
&SYSTEM
  ibrav = 0, nat = 4, ntyp = 4
/
ATOMIC_SPECIES
Sr 87.62 Sr.upf
Ga 69.72 Ga.upf
Eu 151.96 Eu.upf
Pt 195.08 Pt.upf
CELL_PARAMETERS angstrom
5.253 0.000 0.000
2.626 4.549 0.000
2.626 1.516 4.289
ATOMIC_POSITIONS crystal
Sr 0.500 0.500 0.500
Ga 0.750 0.750 0.750
Eu 0.000 0.000 0.000
Pt 0.250 0.250 0.250

---

# 4
! YMn3Be PBE relaxed; values from VASP
! raw total energy: -7.188 eV per atom
&SYSTEM
  ibrav = 0, nat = 5, ntyp = 3
/
ATOMIC_SPECIES
Mn 54.94 Mn.upf
Be 9.01 Be.upf
Y 88.91 Y.upf
CELL_PARAMETERS angstrom
-3.065 -0.904 2.811
-2.442 -1.502 -3.146
1.660 -3.878 0.563
ATOMIC_POSITIONS crystal
Mn 0.000 0.500 0.000
Mn 0.500 0.000 0.000
Mn 0.000 0.000 0.500
Be 0.000 0.000 0.000
Y 0.500 0.500 0.500

---

# 5
! Na3BiPd2O6 PBE relaxed; values from VASP
! formation energy without anion corrections: -0.99 eV/atom
&SYSTEM
  ibrav = 0, nat = 12, ntyp = 4
/
ATOMIC_SPECIES
Na 22.99 Na.upf
O 16.00 O.upf
Bi 208.98 Bi.upf
Pd 106.42 Pd.upf
CELL_PARAMETERS angstrom
-1.365 -0.164 -5.484
5.509 -0.961 0.837
-2.835 -4.842 2.473
ATOMIC_POSITIONS crystal
Na 0.827 0.173 0.500
Na 0.173 0.827 0.500
Na 0.500 0.500 0.500
O 0.732 0.732 0.188
O 0.268 0.268 0.812
O 0.363 0.016 0.241
O 0.984 0.637 0.759
O 0.016 0.363 0.241
O 0.637 0.984 0.759
Bi 0.000 0.000 0.000
Pd 0.666 0.334 0.000
Pd 0.334 0.666 0.000

---

# 6
! Sr2Li15In2 PBE relaxed; values from VASP
! raw total energy: -2.057 eV per atom
&SYSTEM
  ibrav = 0, nat = 19, ntyp = 3
/
ATOMIC_SPECIES
Li 6.94 Li.upf
Sr 87.62 Sr.upf
In 114.82 In.upf
CELL_PARAMETERS angstrom
7.639 -0.078 -0.070
0.913 7.584 -0.070
0.913 0.802 7.542
ATOMIC_POSITIONS crystal
Li 0.500 0.000 0.000
Li 0.000 0.268 0.732
Li 0.000 0.732 0.268
Li 0.653 0.653 0.129
Li 0.732 0.268 0.000
Li 0.732 0.000 0.268
Li 0.347 0.347 0.871
Li 0.871 0.347 0.347
Li 0.129 0.653 0.653
Li 0.347 0.871 0.347
Li 0.268 0.732 0.000
Li 0.000 0.500 0.000
Li 0.000 0.000 0.500
Li 0.653 0.129 0.653
Li 0.268 0.000 0.732
Sr 0.653 0.653 0.653
Sr 0.347 0.347 0.347
In 0.107 0.107 0.107
In 0.893 0.893 0.893

---

Copy entry 2 word for word.
! RbSb2H2Se6 PBE relaxed; values from VASP
! raw total energy: -3.573 eV per atom
&SYSTEM
  ibrav = 0, nat = 11, ntyp = 4
/
ATOMIC_SPECIES
H 1.01 H.upf
Sb 121.76 Sb.upf
Se 78.96 Se.upf
Rb 85.47 Rb.upf
CELL_PARAMETERS angstrom
-5.466 4.302 -2.057
-2.683 1.741 -7.713
-4.214 -5.333 5.113
ATOMIC_POSITIONS crystal
H 0.778 0.415 0.275
H 0.222 0.585 0.725
Sb 0.178 0.615 0.078
Sb 0.822 0.385 0.922
Se 0.902 0.600 0.830
Se 0.340 0.698 0.815
Se 0.116 0.927 0.624
Se 0.884 0.073 0.376
Se 0.660 0.302 0.185
Se 0.098 0.400 0.170
Rb 0.500 0.000 0.500

---

Repeat the first record exactly.
! Re2AuBr PBE relaxed; values from VASP
! formation energy without anion corrections: 1.39 eV/atom
&SYSTEM
  ibrav = 0, nat = 4, ntyp = 3
/
ATOMIC_SPECIES
Au 196.97 Au.upf
Re 186.21 Re.upf
Br 79.90 Br.upf
CELL_PARAMETERS angstrom
4.611 0.000 0.000
0.000 4.611 0.000
0.000 0.000 3.074
ATOMIC_POSITIONS crystal
Au 0.500 0.000 0.500
Re 0.000 0.000 0.000
Re 0.500 0.500 0.000
Br 0.000 0.500 0.500